1.
This record from Alexandria describes a crystal of ScRu2 relaxed with PBEsol. The functional is SCAN.

Values from the calculation:
Raw total energy, eV per atom: -28.42
Magnetic moment, μB per cell: 0.001
E_form, meV per atom: -454

abc: 5.0921 5.0921 16.8999
angles: 90.00 90.00 120.00
Space group P6_3/mmc (No. 194)
Unique sites:
Sc: 0.0000 0.0000 0.0909 [4 per cell]
Sc: 0.3333 0.6667 0.1566 [4 per cell]
Ru: 0.0000 0.5000 0.0000 [6 per cell]
Ru: 0.1620 0.3239 0.7500 [6 per cell]
Ru: 0.3333 0.6667 0.6262 [4 per cell]

***

2.
This record from Alexandria describes a crystal of Ir2Rh relaxed with PBEsol. The functional is SCAN.

Values from the calculation:
Raw total energy, eV per atom: -58.68
Magnetic moment, μB per cell: 0.000
Polymorph energy (0 for the lowest one), meV per atom: 12
E_form, meV per atom: -21

abc: 3.812 3.812 22.870
angles: 90.00 90.00 90.00
Space group I4_1/amd (No. 141, origin choice 2)
Unique sites:
Ir: 0.000 0.250 0.125 [8 per cell]
Ir: 0.000 0.250 0.292 [8 per cell]
Rh: 0.000 0.250 0.792 [8 per cell]

***

3.
This record from Alexandria describes a crystal of Mn5Co relaxed with PBEsol. The functional is SCAN.

Values from the calculation:
Raw total energy, eV per atom: -18.06
Magnetic moment, μB per cell: 10.288
Polymorph energy (0 for the lowest one), meV per atom: 8
E_form, meV per atom: 38

abc: 3.486 10.579 3.435
angles: 90.00 90.00 90.00
Space group Cmmm (No. 65)
Unique sites:
Mn: 0.000 0.000 0.000 [2 per cell]
Mn: 0.000 0.161 0.500 [4 per cell]
Mn: 0.000 0.336 0.000 [4 per cell]
Co: 0.000 0.500 0.500 [2 per cell]

***

4.
This record from Alexandria describes a crystal of Ni2PbBr relaxed with PBEsol. The functional is SCAN.

Values from the calculation:
Raw total energy, eV per atom: -31.65
Magnetic moment, μB per cell: 0.001
Formation energy from raw total energies, kJ/mol of formula units: 96

abc: 3.320 3.558 6.197
angles: 90.00 90.00 90.00
Space group Pmmm (No. 47)
Unique sites:
Ni: 0.000 0.000 0.195 [2 per cell]
Pb: 0.500 0.500 0.000 [1 per cell]
Br: 0.500 0.000 0.500 [1 per cell]

***

Number 1: D(E_F) 22.60 states/eV per cell. Number 2: D(E_F) 21.40 states/eV per cell. Number 3: D(E_F) 13.11 states/eV per cell. Number 4: D(E_F) 2.60 states/eV per cell.